The following is a PBE calculation of an optimized crystal structure of MgCdTe2, from Alexandria.

Geometry as POSCAR:
```
MgCdTe2
1.0
3.947 -2.279 0.000
0.000 4.558 0.000
0.000 0.000 7.359
Mg Te Cd
1 2 1
Cartesian
1.316 2.279 3.091
1.316 2.279 5.929
2.631 0.000 2.060
0.000 0.000 6.985
```

Values from the calculation:
As for the calculated volume: 33.1 A^3/atom. As for the uncorrected energy: -2.746 eV/atom. The uncorrected formation energy comes out at -548 meV per atom. Its space group is No. 156.